(1)
Compound: InSn2TeIr
Source: the Alexandria database
Functional: PBE
Structure: relaxed

Computed properties:
ΔE_f (raw): -179 meV per atom

Unit cell a=5.1682 b=5.1682 c=5.2303 alpha=90.00 beta=90.00 gamma=90.00
Last column: nearest neighbours and their distance in Å.
Space group P4/mmm (No. 123)
One atom of each set of equivalent atoms:
In  0.0000  0.0000  0.0000 x1  2 Ir 2.62
Sn  0.0000  0.5000  0.5000 x2  2 Ir 2.58
Te  0.5000  0.5000  0.0000 x1  4 In 3.65, 8 Sn 3.68
Ir  0.0000  0.0000  0.5000 x1  4 Sn 2.58, 2 In 2.62

(2)
Compound: In2SnTeIr
Source: the Alexandria database
Functional: PBE
Structure: relaxed

Computed properties:
ΔE_f (raw): -156 meV per atom

Unit cell a=5.2338 b=5.2338 c=5.1411 alpha=90.00 beta=90.00 gamma=90.00
Last column: nearest neighbours and their distance in Å.
Space group P4/mmm (No. 123)
One atom of each set of equivalent atoms:
In  0.0000  0.5000  0.0000 x2  2 Ir 2.62
Sn  0.0000  0.0000  0.5000 x1  2 Ir 2.57
Te  0.5000  0.5000  0.5000 x1  8 In 3.67, 4 Sn 3.70
Ir  0.0000  0.0000  0.0000 x1  2 Sn 2.57, 4 In 2.62

(3)
Compound: TlIn2SnIr
Source: the Alexandria database
Functional: PBE
Structure: relaxed

Computed properties:
formation enthalpy at 0 K: -0.18 kcal/mol of atoms

Unit cell a=5.2349 b=5.2349 c=5.1316 alpha=90.00 beta=90.00 gamma=90.00
Last column: nearest neighbours and their distance in Å.
Space group P4/mmm (No. 123)
One atom of each set of equivalent atoms:
Tl  0.0000  0.0000  0.0000 x1  8 In 3.67, 4 Sn 3.70
In  0.0000  0.5000  0.5000 x2  2 Ir 2.62
Sn  0.5000  0.5000  0.0000 x1  2 Ir 2.57
Ir  0.5000  0.5000  0.5000 x1  2 Sn 2.57, 4 In 2.62

(4)
Compound: YInSnIr2
Source: the Alexandria database
Functional: PBE
Structure: relaxed

Computed properties:
formation enthalpy at 0 K: 23.44 kcal/mol of atoms

Unit cell a=4.9116 b=4.9116 c=5.4391 alpha=90.00 beta=90.00 gamma=90.00
Last column: nearest neighbours and their distance in Å.
Space group P4/mmm (No. 123)
One atom of each set of equivalent atoms:
Y  0.0000  0.0000  0.0000 x1  2 In 2.72
In  0.0000  0.0000  0.5000 x1  4 Ir 2.46, 2 Y 2.72
Sn  0.5000  0.5000  0.0000 x1  4 Y 3.47, 8 Ir 3.66
Ir  0.0000  0.5000  0.5000 x2  2 In 2.46

(5)
Compound: Zr2InSnIr
Source: the Alexandria database
Functional: PBE
Structure: relaxed

Computed properties:
formation enthalpy at 0 K: 1.24 kcal/mol of atoms

Unit cell a=5.1275 b=5.1275 c=5.0019 alpha=90.00 beta=90.00 gamma=90.00
Last column: nearest neighbours and their distance in Å.
Space group P4/mmm (No. 123)
One atom of each set of equivalent atoms:
Zr  0.0000  0.5000  0.0000 x2  2 Ir 2.56
In  0.0000  0.0000  0.5000 x1  8 Zr 3.58, 4 Sn 3.63
Sn  0.5000  0.5000  0.5000 x1  2 Ir 2.50
Ir  0.5000  0.5000  0.0000 x1  2 Sn 2.50, 4 Zr 2.56

(6)
Compound: SrIn4Ir4
Source: the Alexandria database
Functional: PBE
Structure: relaxed

Computed properties:
formation enthalpy at 0 K: -0.51 kcal/mol of atoms

Unit cell a=6.6963 b=6.6963 c=8.9786 alpha=90.00 beta=90.00 gamma=90.00
Last column: nearest neighbours and their distance in Å.
Space group P4_2/nmc (No. 137, origin choice 2)
One atom of each set of equivalent atoms:
Sr  0.2500  0.7500  0.2500 x2  12 Ir 3.64-3.88, 12 In 3.71-3.91
In  0.0071  0.2500  0.1158 x8  5 Ir 2.70-2.75
Ir  0.0579  0.2500  0.4153 x8  1 Ir 2.57, 5 In 2.70-2.75

(7)
Compound: SrInIr2
Source: the Alexandria database
Functional: PBE
Structure: relaxed

Computed properties:
formation enthalpy at 0 K: 10.29 kcal/mol of atoms

Unit cell a=7.7681 b=7.7681 c=5.9293 alpha=90.00 beta=90.00 gamma=90.00
Last column: nearest neighbours and their distance in Å.
Space group I-42d (No. 122)
One atom of each set of equivalent atoms:
Sr  0.0000  0.0000  0.0000 x4  2 In 2.96, 4 Ir 3.07
In  0.0000  0.0000  0.5000 x4  4 Ir 2.64
Ir  0.2093  0.2500  0.6250 x8  2 In 2.64

(8)
Compound: SrIn6Ir
Source: the Alexandria database
Functional: PBE
Structure: relaxed

Computed properties:
formation enthalpy at 0 K: -2.44 kcal/mol of atoms

Unit cell a=4.1787 b=8.9751 c=11.1291 alpha=90.00 beta=90.00 gamma=90.00
Last column: nearest neighbours and their distance in Å.
Space group Amm2 (No. 38)
One atom of each set of equivalent atoms:
Sr  0.0000  0.0000  0.0000 x2  12 In 3.32-3.68
In  0.0000  0.2410  0.2437 x4  1 Ir 2.78, 2 In 3.01
In  0.5000  0.0000  0.2467 x2  6 In 3.01-3.19
In  0.5000  0.0000  0.7682 x2  2 Ir 2.75
In  0.5000  0.1756  0.4956 x4  2 Ir 2.90, 2 In 3.15-3.19
Ir  0.0000  0.0000  0.6069 x2  8 In 2.75-2.90